A crystal of Mg2HgAs2 relaxed with PBEsol. Source: Alexandria via LeMat-Bulk, functional meta-GGA SCAN.

Summary:
DFT formation energy	-427.4	meV/atom
magnetization	0.000	μB/atom
electronic total energy	-120.6	eV per cell
space-group type	I4/mmm, No. 139

Cell: 4.816 4.816 5.900 Å, 114.09 114.09 90.00°
Fractional positions:
As (0.374, 0.374, 0.748)
As (0.626, 0.626, 0.252)
Mg (0.750, 0.250, 0.500)
Mg (0.250, 0.750, 0.500)
Hg (0.000, 0.000, 0.000)

A crystal of MgHgAs relaxed with PBEsol. Source: Alexandria via LeMat-Bulk, functional meta-GGA SCAN.

Summary:
DFT formation energy	-99.1	meV/atom
magnetization	0.000	μB/atom
electronic total energy	-93.6	eV per cell
space-group type	Imm2, No. 44

Cell: 3.300 3.971 5.361 Å, 111.74 107.92 90.00°
Fractional positions:
As (0.984, 0.984, 0.968)
Hg (0.667, 0.667, 0.335)
Mg (0.349, 0.349, 0.698)

A crystal of MgHgAs2 relaxed with PBEsol. Source: Alexandria via LeMat-Bulk, functional meta-GGA SCAN.

Summary:
DFT formation energy	-69.7	meV/atom
magnetization	0.000	μB/atom
electronic total energy	-113.8	eV per cell
energy relative to the lowest polymorph listed for this composition	0.001	eV per atom
space-group type	C2/m, No. 12

Cell: 3.522 4.874 5.423 Å, 96.28 108.95 90.00°
Fractional positions:
As (0.247, 0.317, 0.494)
As (0.753, 0.683, 0.506)
Mg (0.000, 0.500, 0.000)
Hg (0.500, 0.000, 0.000)

A crystal of MgHgAs2 relaxed with PBEsol. Source: Alexandria via LeMat-Bulk, functional meta-GGA SCAN.

Summary:
DFT formation energy	84.2	meV/atom
magnetization	0.000	μB/atom
electronic total energy	-113.2	eV per cell
energy relative to the lowest polymorph listed for this composition	0.155	eV per atom
space-group type	I-4m2, No. 119

Cell: 4.036 4.036 5.674 Å, 110.83 110.83 90.00°
Fractional positions:
Hg (0.500, 0.500, 0.000)
As (0.000, 0.000, 0.000)
As (0.750, 0.250, 0.500)
Mg (0.250, 0.750, 0.500)

A crystal of MgHg2As relaxed with PBEsol. Source: Alexandria via LeMat-Bulk, functional meta-GGA SCAN.

Summary:
DFT formation energy	-64.1	meV/atom
magnetization	0.000	μB/atom
electronic total energy	-161.8	eV per cell
space-group type	P4mm, No. 99

Cell: 3.863 3.865 5.829 Å, 90.00 90.00 90.00°
Fractional positions:
Hg (0.500, 0.500, 0.225)
Hg (0.000, 0.000, 0.030)
Mg (0.000, 0.000, 0.546)
As (0.500, 0.500, 0.698)

A crystal of MgHgAs2Os relaxed with PBEsol. Source: Alexandria via LeMat-Bulk, functional meta-GGA SCAN.

Summary:
DFT formation energy	1568.6	meV/atom
magnetization	0.358	μB/atom
electronic total energy	-177.6	eV per cell
space-group type	P4/mmm, No. 123

Cell: 5.005 5.005 5.061 Å, 90.00 90.00 90.00°
Each line ends with the local moment (μB).
Fractional positions:
Os (0.000, 0.000, 0.500)  1.87
Mg (0.500, 0.500, 0.500)  0.00
As (0.500, 0.000, 0.000)  -0.12
As (0.000, 0.500, 0.000)  -0.12
Hg (0.000, 0.000, 0.000)  -0.01

A crystal of MnHg2As relaxed with PBEsol. Source: Alexandria via LeMat-Bulk, functional meta-GGA SCAN.

Summary:
DFT formation energy	57.8	meV/atom
magnetization	0.833	μB/atom
electronic total energy	-174.5	eV per cell
space-group type	Cm, No. 8

Cell: 3.060 4.398 6.744 Å, 107.97 90.00 110.36°
Each line ends with the local moment (μB).
Fractional positions:
Mn (0.519, 0.037, 0.375)  3.40
Hg (0.988, 0.977, 0.020)  0.01
Hg (0.188, 0.376, 0.730)  0.01
As (0.805, 0.610, 0.375)  -0.21

A crystal of MnHg2As relaxed with PBEsol. Source: Alexandria via LeMat-Bulk, functional meta-GGA SCAN.

Summary:
DFT formation energy	24.8	meV/atom
magnetization	1.130	μB/atom
electronic total energy	-174.7	eV per cell
space-group type	Cmmm, No. 65

Cell: 4.016 4.016 5.063 Å, 90.00 90.00 90.79°
Each line ends with the local moment (μB).
Fractional positions:
Hg (0.747, 0.253, 0.000)  0.01
Hg (0.253, 0.747, 0.000)  0.01
Mn (0.500, 0.500, 0.500)  4.35
As (0.000, 0.000, 0.500)  -0.08

A crystal of Mn2HgAs relaxed with PBEsol. Source: Alexandria via LeMat-Bulk, functional meta-GGA SCAN.

Summary:
DFT formation energy	-56.1	meV/atom
magnetization	1.634	μB/atom
electronic total energy	-125.1	eV per cell
space-group type	P4mm, No. 99

Cell: 3.113 3.114 6.668 Å, 90.00 90.00 90.00°
Each line ends with the local moment (μB).
Fractional positions:
Mn (0.500, 0.500, 0.266)  2.99
Mn (0.000, 0.000, 0.037)  3.76
Hg (0.500, 0.500, 0.774)  -0.02
As (0.000, 0.000, 0.423)  -0.17

A crystal of MnHgAs2Se relaxed with PBEsol. Source: Alexandria via LeMat-Bulk, functional meta-GGA SCAN.

Summary:
magnetization	0.331	μB/atom
electronic total energy	-145.5	eV per cell
E_form (uncorrected)	0.28	eV per atom
space-group type	P4/mmm, No. 123

Cell: 4.485 4.485 5.083 Å, 90.00 90.00 90.00°
Each line ends with the local moment (μB).
Fractional positions:
As (0.000, 0.500, 0.000)  -0.27
As (0.500, 0.000, 0.000)  -0.27
Hg (0.500, 0.500, 0.500)  -0.08
Mn (0.000, 0.000, 0.000)  2.67
Se (0.000, 0.000, 0.500)  -0.09

A crystal of HgMo3As relaxed with PBEsol. Source: Alexandria via LeMat-Bulk, functional meta-GGA SCAN.

Summary:
DFT formation energy	2568.2	meV/atom
magnetization	1.795	μB/atom
electronic total energy	-180.2	eV per cell
space-group type	Pm-3m, No. 221

Cell: 4.874 4.874 4.874 Å, 90.00 90.00 90.00°
Each line ends with the local moment (μB).
Fractional positions:
As (0.500, 0.500, 0.500)  -0.27
Mo (0.000, 0.000, 0.500)  2.77
Mo (0.000, 0.500, 0.000)  2.77
Mo (0.500, 0.000, 0.000)  2.77
Hg (0.000, 0.000, 0.000)  0.11

A crystal of HgMo4As relaxed with PBEsol. Source: Alexandria via LeMat-Bulk, functional meta-GGA SCAN.

Summary:
DFT formation energy	666.4	meV/atom
magnetization	0.000	μB/atom
electronic total energy	-223.9	eV per cell
space-group type	F-43m, No. 216

Cell: 5.241 5.241 5.241 Å, 60.00 60.00 60.00°
Fractional positions:
As (0.750, 0.750, 0.750)
Mo (0.373, 0.373, 0.373)
Mo (0.373, 0.373, 0.880)
Mo (0.880, 0.373, 0.373)
Mo (0.373, 0.880, 0.373)
Hg (0.000, 0.000, 0.000)

A crystal of HgMo2As relaxed with PBEsol. Source: Alexandria via LeMat-Bulk, functional meta-GGA SCAN.

Summary:
DFT formation energy	523.9	meV/atom
magnetization	0.000	μB/atom
electronic total energy	-156.0	eV per cell
space-group type	P4/mmm, No. 123

Cell: 3.101 4.539 4.539 Å, 90.00 90.00 90.00°
Fractional positions:
As (0.500, 0.500, 0.500)
Mo (0.000, 0.000, 0.500)
Mo (0.000, 0.500, 0.000)
Hg (0.500, 0.000, 0.000)

A crystal of HgMoAsSe2 relaxed with PBEsol. Source: Alexandria via LeMat-Bulk, functional meta-GGA SCAN.

Summary:
magnetization	0.000	μB/atom
electronic total energy	-162.1	eV per cell
E_form (uncorrected)	0.26	eV per atom
space-group type	P4/mmm, No. 123

Cell: 4.864 4.864 4.927 Å, 90.00 90.00 90.00°
Fractional positions:
As (0.000, 0.000, 0.500)
Mo (0.000, 0.000, 0.000)
Se (0.000, 0.500, 0.000)
Se (0.500, 0.000, 0.000)
Hg (0.500, 0.500, 0.500)

A crystal of Na3HgAs relaxed with PBEsol. Source: Alexandria via LeMat-Bulk, functional meta-GGA SCAN.

Summary:
DFT formation energy	-323.1	meV/atom
magnetization	0.004	μB/atom
electronic total energy	-102.6	eV per cell
space-group type	Pm-3m, No. 221

Cell: 5.501 5.501 5.501 Å, 90.00 90.00 90.00°
Fractional positions:
Na (0.000, 0.500, 0.000)
Na (0.500, 0.000, 0.000)
Na (0.000, 0.000, 0.500)
As (0.000, 0.000, 0.000)
Hg (0.500, 0.500, 0.500)